A plane-wave DFT calculation with PBE was carried out for TaRe2Hg after structural relaxation.

Geometry as POSCAR:
```
TaRe2Hg
1.0
-4.019 -3.456 0.989
-1.055 -3.752 -3.725
3.765 2.008 3.296
Ta Re Hg
1 2 1
Direct
0.515 0.515 0.000
0.984 0.984 0.000
0.754 0.254 0.500
0.247 0.747 0.500
```

The formation enthalpy at 0 K comes out at 0.463 eV per atom.